Record 1
Computed, not measured: a crystal of LiFeI3 relaxed with PBEsol at the meta-GGA SCAN level of DFT.

Output
Fermi-level density of states (states/eV/cell): 4.5
Calculated total energy (eV/atom): -26.419
ρ (g/cm³): 4.55
SG: Pm-3m (221)

a = 5.4485 Å, b = 5.4485 Å, c = 5.4485 Å
α = 90.00°, β = 90.00°, γ = 90.00°
Each line ends with the local moment (μB).
Fractional positions:
1 I 0.5000 0.0000 0.0000  0.09
2 I 0.0000 0.5000 0.0000  0.09
3 I 0.0000 0.0000 0.5000  0.09
4 Fe 0.0000 0.0000 0.0000  3.51
5 Li 0.5000 0.5000 0.5000  0.00

---

Record 2
Computed, not measured: a crystal of YZnO2F relaxed with PBEsol at the meta-GGA SCAN level of DFT.

Output
Fermi-level density of states (states/eV/cell): 1.8
Calculated total energy (eV/atom): -13.508
ρ (g/cm³): 4.32
SG: P4/mmm (123)

a = 4.1740 Å, b = 4.3493 Å, c = 4.3493 Å
α = 90.00°, β = 90.00°, γ = 90.00°
Each line ends with the local moment (μB).
Fractional positions:
1 O 0.0000 0.5000 0.0000  0.08
2 O 0.0000 0.0000 0.5000  0.08
3 Zn 0.5000 0.5000 0.5000  -0.02
4 F 0.5000 0.0000 0.0000  0.00
5 Y 0.0000 0.0000 0.0000  -0.01

---

Record 3
Computed, not measured: a crystal of YAu3 relaxed with PBEsol at the meta-GGA SCAN level of DFT.

Output
Energy relative to the elements (eV per atom): -0.81
Fermi-level density of states (states/eV/cell): 1.5
Calculated total energy (eV/atom): -59.642
ρ (g/cm³): 14.61
SG: Fm-3m (225)

a = 4.7808 Å, b = 4.7808 Å, c = 4.7808 Å
α = 60.00°, β = 60.00°, γ = 60.00°
Fractional positions:
1 Au 0.0000 0.0000 0.0000
2 Au 0.2500 0.2500 0.2500
3 Au 0.7500 0.7500 0.7500
4 Y 0.5000 0.5000 0.5000

---

Record 4
Computed, not measured: a crystal of Co2ReTe relaxed with PBEsol at the meta-GGA SCAN level of DFT.

Output
Fermi-level density of states (states/eV/cell): 1.2
Calculated total energy (eV/atom): -35.227
ρ (g/cm³): 13.01
SG: F-43m (216)

a = 4.2709 Å, b = 4.2709 Å, c = 4.2709 Å
α = 60.00°, β = 60.00°, γ = 60.00°
Each line ends with the local moment (μB).
Fractional positions:
1 Co 0.7500 0.7500 0.7500  1.51
2 Co 0.0000 0.0000 0.0000  1.51
3 Te 0.2500 0.2500 0.2500  0.01
4 Re 0.5000 0.5000 0.5000  0.01

---

Record 5
Computed, not measured: a crystal of Ta3CuAu relaxed with PBEsol at the meta-GGA SCAN level of DFT.

Output
Energy relative to the elements (eV per atom): 1.13
Fermi-level density of states (states/eV/cell): 5.3
Calculated total energy (eV/atom): -55.696
ρ (g/cm³): 14.11
SG: Pm-3m (221)

a = 4.5560 Å, b = 4.5560 Å, c = 4.5560 Å
α = 90.00°, β = 90.00°, γ = 90.00°
Each line ends with the local moment (μB).
Fractional positions:
1 Cu 0.0000 0.0000 0.0000  0.12
2 Ta 0.0000 0.5000 0.0000  0.28
3 Ta 0.5000 0.0000 0.0000  0.28
4 Ta 0.0000 0.0000 0.5000  0.28
5 Au 0.5000 0.5000 0.5000  0.03

---

Record 6
Computed, not measured: a crystal of ZnCu2Br relaxed with PBEsol at the meta-GGA SCAN level of DFT.

Output
Fermi-level density of states (states/eV/cell): 1.1
Polymorph energy (0 for the lowest one) (eV per formula unit): 0.62
Calculated total energy (eV/atom): -15.634
ρ (g/cm³): 7.24
SG: P4/mmm (123)

a = 3.2253 Å, b = 3.2253 Å, c = 6.0051 Å
α = 90.00°, β = 90.00°, γ = 90.00°
Fractional positions:
1 Br 0.5000 0.5000 0.5000
2 Zn 0.5000 0.5000 0.0000
3 Cu 0.0000 0.0000 0.1967
4 Cu 0.0000 0.0000 0.8033

---

Record 7
Computed, not measured: a crystal of U6Al43Cr4 relaxed with PBEsol at the meta-GGA SCAN level of DFT.

Output
Energy relative to the elements (eV per atom): -0.14
Fermi-level density of states (states/eV/cell): 80.2
Calculated total energy (eV/atom): -19.539
ρ (g/cm³): 5.37
SG: P6_3/mcm (193)

a = 10.8890 Å, b = 10.8890 Å, c = 16.8439 Å
α = 90.00°, β = 90.00°, γ = 120.00°
Each line ends with the local moment (μB).
Fractional positions:
1 Al 0.8524 0.0000 0.7500  0.01
2 Al 0.2479 0.2479 0.9698  0.01
3 Al 0.8424 0.0000 0.3848  0.02
4 Al 0.1369 0.5447 0.7500  0.01
5 Al 0.3935 0.1644 0.1629  0.00
6 Al 0.7521 0.0000 0.5302  0.01
7 Al 0.7552 0.5103 0.5000  0.01
8 Al 0.1644 0.7709 0.6629  0.00
9 Al 0.7521 0.7521 0.0302  0.01
10 Al 0.7709 0.6065 0.3371  0.00
11 Al 0.7552 0.2448 0.0000  0.01
12 Al 0.0000 0.2479 0.0302  0.01
13 Al 0.2448 0.4897 0.5000  0.01
14 Al 0.8356 0.2291 0.1629  0.00
15 Al 0.5103 0.7552 0.0000  0.01
16 Al 0.8424 0.8424 0.6152  0.02
17 Al 0.3333 0.6667 0.3719  0.00
18 Al 0.6065 0.7709 0.3371  0.00
19 Al 0.5922 0.1369 0.2500  0.01
20 Al 0.0000 0.1576 0.8848  0.02
21 Al 0.6667 0.3333 0.1281  0.00
22 Al 0.1576 0.0000 0.6152  0.02
23 Al 0.7709 0.6065 0.1629  0.00
24 Al 0.6065 0.7709 0.1629  0.00
25 Al 0.5922 0.4553 0.7500  0.01
26 Al 0.3333 0.6667 0.1281  0.00
27 Al 0.2448 0.7552 0.5000  0.01
28 Al 0.8631 0.4553 0.2500  0.01
29 Al 0.4553 0.8631 0.2500  0.01
30 Al 0.3935 0.2291 0.6629  0.00
31 Al 0.7521 0.0000 0.9698  0.01
32 Al 0.8356 0.6065 0.8371  0.00
33 Al 0.5447 0.1369 0.7500  0.01
34 Al 0.3333 0.6667 0.6281  0.00
35 Al 0.4553 0.5922 0.7500  0.01
36 Al 0.8631 0.4078 0.7500  0.01
37 Al 0.3333 0.6667 0.8719  0.00
38 Al 0.1644 0.3935 0.3371  0.00
39 Al 0.6065 0.8356 0.6629  0.00
40 Al 0.1576 0.1576 0.1152  0.02
41 Al 0.6667 0.3333 0.8719  0.00
42 Al 0.4078 0.5447 0.2500  0.01
43 Al 0.2291 0.8356 0.1629  0.00
44 Al 0.3935 0.1644 0.3371  0.00
45 Al 0.0000 0.1576 0.6152  0.02
46 Al 0.4078 0.8631 0.7500  0.01
47 Al 0.0000 0.7521 0.9698  0.01
48 Al 0.7709 0.1644 0.6629  0.00
49 Al 0.4897 0.2448 0.0000  0.01
50 Al 0.1576 0.0000 0.8848  0.02
51 Al 0.2479 0.0000 0.4698  0.01
52 Al 0.1644 0.7709 0.8371  0.00
53 Al 0.0000 0.7521 0.5302  0.01
54 Al 0.0000 0.2479 0.4698  0.01
55 Al 0.2479 0.0000 0.0302  0.01
56 Al 0.2479 0.2479 0.5302  0.01
57 Al 0.8524 0.8524 0.2500  0.01
58 Al 0.7552 0.2448 0.5000  0.01
59 Al 0.7709 0.1644 0.8371  0.00
60 Al 0.2448 0.4897 0.0000  0.01
61 Al 0.2291 0.3935 0.6629  0.00
62 Al 0.2291 0.3935 0.8371  0.00
63 Al 0.6065 0.8356 0.8371  0.00
64 Al 0.1644 0.3935 0.1629  0.00
65 Al 0.0000 0.8424 0.1152  0.02
66 Al 0.0000 0.8424 0.3848  0.02
67 Al 0.6667 0.3333 0.3719  0.00
68 Al 0.0000 0.8524 0.7500  0.01
69 Al 0.8424 0.8424 0.8848  0.02
70 Al 0.0000 0.1476 0.2500  0.01
71 Al 0.3935 0.2291 0.8371  0.00
72 Al 0.1369 0.5922 0.2500  0.01
73 Al 0.1476 0.0000 0.2500  0.01
74 Al 0.4897 0.2448 0.5000  0.01
75 Al 0.5103 0.7552 0.5000  0.01
76 Al 0.8356 0.6065 0.6629  0.00
77 Al 0.7552 0.5103 0.0000  0.01
78 Al 0.5447 0.4078 0.2500  0.01
79 Al 0.8356 0.2291 0.3371  0.00
80 Al 0.8424 0.0000 0.1152  0.02
81 Al 0.7521 0.7521 0.4698  0.01
82 Al 0.1476 0.1476 0.7500  0.01
83 Al 0.2448 0.7552 0.0000  0.01
84 Al 0.2291 0.8356 0.3371  0.00
85 Al 0.6667 0.3333 0.6281  0.00
86 Al 0.1576 0.1576 0.3848  0.02
87 Cr 0.2645 0.2645 0.2500  -1.78
88 Cr 0.0000 0.2645 0.7500  -1.78
89 Cr 0.2645 0.0000 0.7500  -1.78
90 Cr 0.7355 0.7355 0.7500  -1.78
91 Cr 0.0000 0.0000 0.5000  -2.19
92 Cr 0.0000 0.7355 0.2500  -1.78
93 Cr 0.7355 0.0000 0.2500  -1.78
94 Cr 0.0000 0.0000 0.0000  -2.19
95 U 0.0000 0.5136 0.0738  -1.54
96 U 0.4864 0.4864 0.0738  -1.54
97 U 0.4864 0.4864 0.4262  -1.54
98 U 0.0000 0.5136 0.4262  -1.54
99 U 0.4864 0.0000 0.5738  -1.54
100 U 0.0000 0.4864 0.5738  -1.54
101 U 0.5136 0.0000 0.4262  -1.54
102 U 0.5136 0.5136 0.9262  -1.54
103 U 0.0000 0.4864 0.9262  -1.54
104 U 0.5136 0.0000 0.0738  -1.54
105 U 0.4864 0.0000 0.9262  -1.54
106 U 0.5136 0.5136 0.5738  -1.54

---

Record 8
Computed, not measured: a crystal of Lu2Ga3Ni14 relaxed with PBEsol at the meta-GGA SCAN level of DFT.

Output
Energy relative to the elements (eV per atom): -0.34
Fermi-level density of states (states/eV/cell): 30.5
Calculated total energy (eV/atom): -20.663
ρ (g/cm³): 9.87
SG: P6_3/mmc (194)

a = 7.9728 Å, b = 8.2019 Å, c = 8.2019 Å
α = 120.00°, β = 90.00°, γ = 90.00°
Fractional positions:
1 Ga 0.5000 0.5000 0.5000
2 Ga 0.0000 0.0000 0.5000
3 Ga 0.0000 0.5000 0.0000
4 Ga 0.5000 0.0000 0.5000
5 Ga 0.0000 0.5000 0.5000
6 Ga 0.5000 0.5000 0.0000
7 Ni 0.7500 0.6760 0.6373
8 Ni 0.6030 0.6667 0.3333
9 Ni 0.7500 0.3627 0.0387
10 Ni 0.2500 0.6373 0.9613
11 Ni 0.2500 0.0387 0.6760
12 Ni 0.7500 0.9613 0.3240
13 Ni 0.9762 0.1650 0.3301
14 Ni 0.4762 0.8350 0.1650
15 Ni 0.5238 0.6699 0.8350
16 Ni 0.4762 0.3301 0.1650
17 Ni 0.8970 0.6667 0.3333
18 Ni 0.3970 0.3333 0.6667
19 Ni 0.2500 0.0387 0.3627
20 Ni 0.5238 0.1650 0.8350
21 Ni 0.1030 0.3333 0.6667
22 Ni 0.7500 0.6760 0.0387
23 Ni 0.7500 0.9613 0.6373
24 Ni 0.2500 0.3240 0.3627
25 Ni 0.2500 0.6373 0.6760
26 Ni 0.7500 0.3627 0.3240
27 Ni 0.4762 0.8350 0.6699
28 Ni 0.0238 0.8350 0.1650
29 Ni 0.0238 0.8350 0.6699
30 Ni 0.9762 0.1650 0.8350
31 Ni 0.2500 0.3240 0.9613
32 Ni 0.5238 0.1650 0.3301
33 Ni 0.9762 0.6699 0.8350
34 Ni 0.0238 0.3301 0.1650
35 Lu 0.2500 0.6667 0.3333
36 Lu 0.7500 0.0000 0.0000
37 Lu 0.7500 0.3333 0.6667
38 Lu 0.2500 0.0000 0.0000

---

Record 9
Computed, not measured: a crystal of Sb2MoAuI relaxed with PBEsol at the meta-GGA SCAN level of DFT.

Output
Fermi-level density of states (states/eV/cell): 3.1
Calculated total energy (eV/atom): -41.901
ρ (g/cm³): 7.26
SG: P4/mmm (123)

a = 5.2759 Å, b = 5.2759 Å, c = 5.4473 Å
α = 90.00°, β = 90.00°, γ = 90.00°
Each line ends with the local moment (μB).
Fractional positions:
1 Mo 0.5000 0.5000 0.5000  4.00
2 Sb 0.0000 0.5000 0.0000  -0.20
3 Sb 0.5000 0.0000 0.0000  -0.20
4 I 0.0000 0.0000 0.5000  -0.04
5 Au 0.0000 0.0000 0.0000  -0.02

---

Record 10
Computed, not measured: a crystal of Pr3Y relaxed with PBEsol at the meta-GGA SCAN level of DFT.

Output
Energy relative to the elements (eV per atom): 0.01
Fermi-level density of states (states/eV/cell): 5.0
Polymorph energy (0 for the lowest one) (eV per formula unit): 0.00
Calculated total energy (eV/atom): -39.443
ρ (g/cm³): 6.45
SG: Pm-3m (221)

a = 5.0871 Å, b = 5.0871 Å, c = 5.0871 Å
α = 90.00°, β = 90.00°, γ = 90.00°
Fractional positions:
1 Pr 0.5000 0.5000 0.0000
2 Pr 0.5000 0.0000 0.5000
3 Pr 0.0000 0.5000 0.5000
4 Y 0.0000 0.0000 0.0000

---

Record 11
Computed, not measured: a crystal of Hf2Co2Cu relaxed with PBEsol at the meta-GGA SCAN level of DFT.

Output
Energy relative to the elements (eV per atom): -0.19
Fermi-level density of states (states/eV/cell): 10.2
Calculated total energy (eV/atom): -35.222
ρ (g/cm³): 12.25
SG: P4/mbm (127)

a = 3.3708 Å, b = 6.5813 Å, c = 6.5813 Å
α = 90.00°, β = 90.00°, γ = 90.00°
Fractional positions:
1 Co 0.0000 0.8691 0.6309
2 Co 0.0000 0.3691 0.8691
3 Co 0.0000 0.6309 0.1309
4 Co 0.0000 0.1309 0.3691
5 Hf 0.5000 0.3279 0.1721
6 Hf 0.5000 0.8279 0.3279
7 Hf 0.5000 0.6721 0.8279
8 Hf 0.5000 0.1721 0.6721
9 Cu 0.0000 0.5000 0.5000
10 Cu 0.0000 0.0000 0.0000

---

Record 12
Computed, not measured: a crystal of TmFe6Sn6 relaxed with PBEsol at the meta-GGA SCAN level of DFT.

Output
Energy relative to the elements (eV per atom): -0.12
Fermi-level density of states (states/eV/cell): 5.4
Calculated total energy (eV/atom): -29.050
ρ (g/cm³): 9.44
SG: P6/mmm (191)

a = 5.3087 Å, b = 5.3087 Å, c = 8.7676 Å
α = 90.00°, β = 90.00°, γ = 120.00°
Each line ends with the local moment (μB).
Fractional positions:
1 Fe 0.5000 0.0000 0.2466  2.55
2 Fe 0.0000 0.5000 0.7534  2.55
3 Fe 0.5000 0.5000 0.2466  2.55
4 Fe 0.0000 0.5000 0.2466  2.55
5 Fe 0.5000 0.0000 0.7534  2.55
6 Fe 0.5000 0.5000 0.7534  2.55
7 Tm 0.0000 0.0000 0.0000  -0.29
8 Sn 0.3333 0.6667 0.0000  -0.11
9 Sn 0.0000 0.0000 0.6639  -0.13
10 Sn 0.0000 0.0000 0.3361  -0.13
11 Sn 0.3333 0.6667 0.5000  -0.09
12 Sn 0.6667 0.3333 0.5000  -0.09
13 Sn 0.6667 0.3333 0.0000  -0.11

---

Record 13
Computed, not measured: a crystal of CuTe relaxed with PBEsol at the meta-GGA SCAN level of DFT.

Output
Fermi-level density of states (states/eV/cell): 3.4
Calculated total energy (eV/atom): -25.710
ρ (g/cm³): 6.77
SG: P6/mmm (191)

a = 3.8731 Å, b = 6.4738 Å, c = 6.4738 Å
α = 120.00°, β = 90.00°, γ = 90.00°
Fractional positions:
1 Cu 0.5000 0.6667 0.3333
2 Cu 0.5000 0.3333 0.6667
3 Cu 0.0000 0.0000 0.0000
4 Te 0.0000 0.0000 0.5000
5 Te 0.0000 0.5000 0.0000
6 Te 0.0000 0.5000 0.5000

---

Record 14
Computed, not measured: a crystal of BaTl2Cd relaxed with PBEsol at the meta-GGA SCAN level of DFT.

Output
Energy relative to the elements (eV per atom): -0.41
Fermi-level density of states (states/eV/cell): 1.7
Calculated total energy (eV/atom): -54.076
ρ (g/cm³): 8.71
SG: R-3m (166)

a = 4.9359 Å, b = 4.9359 Å, c = 6.5994 Å
α = 68.04°, β = 68.04°, γ = 60.00°
Fractional positions:
1 Tl 0.2207 0.2207 0.3378
2 Tl 0.7793 0.7793 0.6622
3 Cd 0.5000 0.5000 0.5000
4 Ba 0.0000 0.0000 0.0000

---

Record 15
Computed, not measured: a crystal of WSe3I relaxed with PBEsol at the meta-GGA SCAN level of DFT.

Output
Fermi-level density of states (states/eV/cell): 4.8
Calculated total energy (eV/atom): -33.003
ρ (g/cm³): 7.70
SG: Pm-3m (221)

a = 4.9055 Å, b = 4.9055 Å, c = 4.9055 Å
α = 90.00°, β = 90.00°, γ = 90.00°
Fractional positions:
1 W 0.0000 0.0000 0.0000
2 Se 0.5000 0.0000 0.0000
3 Se 0.0000 0.0000 0.5000
4 Se 0.0000 0.5000 0.0000
5 I 0.5000 0.5000 0.5000

---

Record 16
Computed, not measured: a crystal of RuRh relaxed with PBEsol at the meta-GGA SCAN level of DFT.

Output
Energy relative to the elements (eV per atom): 0.02
Fermi-level density of states (states/eV/cell): 7.8
Calculated total energy (eV/atom): -34.276
ρ (g/cm³): 12.67
SG: Pnma (62)

a = 4.2561 Å, b = 4.6651 Å, c = 5.3848 Å
α = 90.00°, β = 90.00°, γ = 90.00°
Fractional positions:
1 Rh 0.2500 0.0863 0.1230
2 Rh 0.2500 0.5863 0.3770
3 Rh 0.7500 0.4137 0.6230
4 Rh 0.7500 0.9137 0.8770
5 Ru 0.2500 0.5804 0.8739
6 Ru 0.2500 0.0804 0.6261
7 Ru 0.7500 0.9196 0.3739
8 Ru 0.7500 0.4196 0.1261

---

Record 17
Computed, not measured: a crystal of FeNi relaxed with PBEsol at the meta-GGA SCAN level of DFT.

Output
Energy relative to the elements (eV per atom): -0.01
Fermi-level density of states (states/eV/cell): 3.2
Calculated total energy (eV/atom): -17.158
ρ (g/cm³): 8.89
SG: P-3m1 (164)

a = 2.4581 Å, b = 2.4581 Å, c = 8.1780 Å
α = 90.00°, β = 90.00°, γ = 120.00°
Each line ends with the local moment (μB).
Fractional positions:
1 Ni 0.6667 0.3333 0.3757  0.79
2 Ni 0.3333 0.6667 0.6243  0.79
3 Fe 0.3333 0.6667 0.1311  2.73
4 Fe 0.6667 0.3333 0.8689  2.73

---

Record 18
Computed, not measured: a crystal of YSiBr relaxed with PBEsol at the meta-GGA SCAN level of DFT.

Output
Fermi-level density of states (states/eV/cell): 2.3
Calculated total energy (eV/atom): -19.549
ρ (g/cm³): 5.00
SG: I4mm (107)

a = 3.6423 Å, b = 3.6423 Å, c = 5.5575 Å
α = 109.13°, β = 109.13°, γ = 90.00°
Fractional positions:
1 Si 0.6710 0.6710 0.3419
2 Y 0.3437 0.3437 0.6875
3 Br 0.9853 0.9853 0.9706

---

Record 19
Computed, not measured: a crystal of BaSr2Si relaxed with PBEsol at the meta-GGA SCAN level of DFT.

Output
Fermi-level density of states (states/eV/cell): 1.7
Calculated total energy (eV/atom): -23.580
ρ (g/cm³): 4.08
SG: P4/mmm (123)

a = 5.1716 Å, b = 5.1716 Å, c = 5.1888 Å
α = 90.00°, β = 90.00°, γ = 90.00°
Fractional positions:
1 Ba 0.5000 0.5000 0.5000
2 Sr 0.5000 0.0000 0.0000
3 Sr 0.0000 0.5000 0.0000
4 Si 0.0000 0.0000 0.5000

---

Record 20
Computed, not measured: a crystal of SiAgF2 relaxed with PBEsol at the meta-GGA SCAN level of DFT.

Output
Fermi-level density of states (states/eV/cell): 3.5
Polymorph energy (0 for the lowest one) (eV per formula unit): 3.42
Calculated total energy (eV/atom): -12.679
ρ (g/cm³): 5.49
SG: Fm-3m (225)

a = 4.2066 Å, b = 4.2066 Å, c = 4.2066 Å
α = 60.00°, β = 60.00°, γ = 60.00°
Fractional positions:
1 Ag 0.5000 0.5000 0.5000
2 F 0.7500 0.7500 0.7500
3 F 0.2500 0.2500 0.2500
4 Si 0.0000 0.0000 0.0000